A relaxed structure of Pm4P3H, computed with PBE.

- E_tot (eV/cell) = -48.7
- space-group type = Cmmm, No. 65

Lattice parameters (Å, degrees): 7.012 7.012 4.077 89.98 89.98 70.93
Atoms (fractional coordinates):
P 0.000 0.000 0.000
P 0.500 0.000 0.500
P 0.000 0.500 0.500
H 0.500 0.500 0.000
Pm 0.759 0.241 0.500
Pm 0.249 0.249 0.000
Pm 0.751 0.751 0.000
Pm 0.241 0.759 0.500